Record 1
Entry from Alexandria via LeMat-Bulk: MgTc at its PBEsol-relaxed geometry (meta-GGA SCAN).

The formation energy is 0.171 eV per atom. The value obtained for the density of states at the Fermi level is 1.13 states/eV/f.u. Its magnetic moment is 0.0000 μB per atom. The calculation puts the volume at 127 Å³/cell. The calculation puts the polymorph energy (0 for the lowest one) at 237 meV per atom.

It has space group C2/m (No. 12), with a = 8.732 Å, b = 2.782 Å, c = 5.236 Å, α = 90.00°, β = 94.28° and γ = 90.00°. The asymmetric unit holds Mg at (0.122, 0.000, 0.375) and Tc at (0.123, 0.500, 0.907).



Record 2
Entry from Alexandria via LeMat-Bulk: TaZnAu at its PBEsol-relaxed geometry (meta-GGA SCAN).

The formation energy is -0.174 eV per atom. The value obtained for the density of states at the Fermi level is 0.92 states/eV/f.u. Its magnetic moment is 0.0000 μB per atom. The calculation puts the volume at 190 Å³/cell.

It has space group Fmm2 (No. 42), with a = 4.090 Å, b = 4.098 Å, c = 11.337 Å, α = 90.00°, β = 90.00° and γ = 90.00°. The asymmetric unit holds Ta at (0.000, 0.000, 0.000), Zn at (0.000, 0.000, 0.662) and Au at (0.000, 0.000, 0.321).



Record 3
Entry from Alexandria via LeMat-Bulk: Ba2TaOs at its PBEsol-relaxed geometry (meta-GGA SCAN).

The formation energy is 1.309 eV per atom. The value obtained for the density of states at the Fermi level is 2.68 states/eV/f.u. Its magnetic moment is 0.0000 μB per atom. The calculation puts the volume at 195 Å³/cell. The calculation puts the polymorph energy (0 for the lowest one) at 943 meV per atom.

It has space group I4/mmm (No. 139), with a = 4.171 Å, b = 4.171 Å, c = 11.223 Å, α = 90.00°, β = 90.00° and γ = 90.00°. The asymmetric unit holds Ba at (0.000, 0.500, 0.250), Ta at (0.000, 0.000, 0.000) and Os at (0.000, 0.000, 0.500).



Record 4
Entry from Alexandria via LeMat-Bulk: LaZrNO2 at its PBEsol-relaxed geometry (meta-GGA SCAN).

The value obtained for the density of states at the Fermi level is 0.00 states/eV/f.u. Its magnetic moment is 0.0000 μB per atom. The value obtained for the raw formation energy is -15.5 eV/f.u. The calculation puts the volume at 276 Å³/cell.

It has space group Pnma (No. 62), with a = 5.733 Å, b = 8.438 Å, c = 5.704 Å, α = 90.00°, β = 90.00° and γ = 90.00°. The asymmetric unit holds La at (0.032, 0.250, 0.011), Zr at (0.000, 0.000, 0.500), N at (0.027, 0.750, 0.574) and O at (0.180, 0.533, 0.180).



Record 5
Entry from Alexandria via LeMat-Bulk: NaOsPd2 at its PBEsol-relaxed geometry (meta-GGA SCAN).

The formation energy is 0.592 eV per atom. The value obtained for the density of states at the Fermi level is 4.28 states/eV/f.u. Its magnetic moment is 0.6280 μB per atom. The calculation puts the volume at 242 Å³/cell.

It has space group Fm-3m (No. 225), with a = 6.233 Å, b = 6.233 Å, c = 6.233 Å, α = 90.00°, β = 90.00° and γ = 90.00°. The asymmetric unit holds Na at (0.000, 0.000, 0.000), Os at (0.000, 0.000, 0.500) and Pd at (0.250, 0.250, 0.250).



Record 6
Entry from Alexandria via LeMat-Bulk: K2Os at its PBEsol-relaxed geometry (meta-GGA SCAN).

The formation energy is 1.405 eV per atom. The value obtained for the density of states at the Fermi level is 1.89 states/eV/f.u. Its magnetic moment is 0.1714 μB per atom. The calculation puts the volume at 71 Å³/cell.

It has space group P-3m1 (No. 164), with a = 2.9277 Å, b = 2.9277 Å, c = 9.5573 Å, α = 90.00°, β = 90.00° and γ = 120.00°. The asymmetric unit holds K at (0.3333, 0.6667, 0.2811) and Os at (0.0000, 0.0000, 0.0000).